Crystalline KGe5Mo3 at its relaxed geometry. Source: the Open Quantum Materials Database, functional PBE-GGA.

E_tot (eV/cell): -56.360
M_tot (μB/atom): 0.00

abc: 5.3379 5.3379 8.0487
angles: 90.00 90.00 120.00
Space group P6/mmm (No. 191)
Inequivalent atoms, fractional coordinates:
K1 0.0000 0.0000 0.0000
Ge1 0.0000 0.0000 0.5000
Ge2 0.3333 0.6667 0.2230
Mo1 0.0000 0.5000 0.5000


Crystalline ZrZn2 at its relaxed geometry. Source: the Open Quantum Materials Database, functional PBE-GGA.

E_form (eV per atom): -0.106
M_tot (μB/atom): 0.00

abc: 3.064 14.481 4.690
angles: 90.00 90.00 90.00
Space group Cmcm (No. 63)
Inequivalent atoms, fractional coordinates:
Zr1 0.000 0.105 0.250
Zn1 0.000 0.223 0.750
Zn2 0.000 0.437 0.250


Crystalline GdPaSn at its relaxed geometry. Source: the Open Quantum Materials Database, functional PBE-GGA.

E_tot (eV/cell): -70.376
M_tot (μB/atom): 0.62

abc: 7.286 7.286 7.286
angles: 90.00 90.00 90.00
Space group F-43m (No. 216)
Inequivalent atoms, fractional coordinates:
Gd1 0.000 0.000 0.000
Pa1 0.000 0.000 0.500
Sn1 0.250 0.250 0.250


Crystalline RbZrAu3Se4 at its relaxed geometry. Source: the Open Quantum Materials Database, functional PBE-GGA.

E_tot (eV/cell): -77.792
M_tot (μB/atom): 0.00

abc: 6.236 7.756 10.315
angles: 90.00 107.60 90.00
Space group P2_1/m (No. 11)
Inequivalent atoms, fractional coordinates:
Rb1 0.224 0.250 0.391
Zr1 0.136 0.250 0.794
Au1 0.288 0.562 0.997
Au2 0.392 0.750 0.252
Se1 0.088 0.250 0.039
Se2 0.188 0.750 0.427
Se3 0.348 0.522 0.754


Crystalline ZnIn2Co at its relaxed geometry. Source: the Open Quantum Materials Database, functional PBE-GGA.

E_tot (eV/cell): -48.745
M_tot (μB/atom): 0.02

abc: 6.572 6.572 6.572
angles: 90.00 90.00 90.00
Space group F-43m (No. 216)
Inequivalent atoms, fractional coordinates:
Zn1 0.000 0.000 0.000
In1 0.000 0.000 0.500
In2 0.250 0.250 0.750
Co1 0.250 0.250 0.250


Crystalline CsCdB3O6 at its relaxed geometry. Source: the Open Quantum Materials Database, functional PBE-GGA.

E_tot (eV/cell): -150.214

abc: 6.630 7.384 7.482
angles: 63.40 70.80 69.17
Space group P-1 (No. 2)
Inequivalent atoms, fractional coordinates:
Cs1 0.245 0.191 0.439
Cd1 0.205 0.855 0.129
B1 0.216 0.315 0.836
B2 0.266 0.662 0.593
B3 0.396 0.505 0.918
O1 0.142 0.148 0.879
O2 0.194 0.482 0.649
O3 0.265 0.813 0.409
O4 0.318 0.322 0.966
O5 0.326 0.683 0.743
O6 0.355 0.555 0.100


Crystalline KIr2O6 at its relaxed geometry. Source: the Open Quantum Materials Database, functional PBE-GGA.

E_tot (eV/cell): -452.668
M_tot (μB/atom): 0.15

abc: 10.065 10.065 10.065
angles: 90.00 90.00 90.00
Space group Fd-3m (No. 227, origin choice 2)
Inequivalent atoms, fractional coordinates:
K1 0.125 0.125 0.125
Ir1 0.000 0.000 0.500
O1 0.074 0.375 0.875


Crystalline Te3MoCl16 at its relaxed geometry. Source: the Open Quantum Materials Database, functional PBE-GGA.

E_tot (eV/cell): -251.044
M_tot (μB/atom): 0.10

abc: 15.573 12.809 11.965
angles: 90.00 90.00 90.00
Space group Cmc2_1 (No. 36)
Inequivalent atoms, fractional coordinates:
Te1 0.000 0.130 0.000
Te2 0.142 0.400 0.264
Mo1 0.000 0.328 0.739
Cl1 0.000 0.009 0.371
Cl2 0.000 0.198 0.611
Cl3 0.000 0.309 0.148
Cl4 0.000 0.477 0.873
Cl5 0.108 0.248 0.853
Cl6 0.111 0.420 0.636
Cl7 0.115 0.061 0.107
Cl8 0.149 0.252 0.383
Cl9 0.233 0.334 0.124
Cl10 0.250 0.007 0.860


Crystalline TbAg3H6C6N6O3 at its relaxed geometry. Source: the Open Quantum Materials Database, functional PBE-GGA.

E_tot (eV/cell): -322.243
M_tot (μB/atom): 0.00

abc: 6.3620 6.3620 18.7957
angles: 90.00 90.00 120.00
Space group P6_3/mcm (No. 193)
Inequivalent atoms, fractional coordinates:
Tb1 0.0000 0.0000 0.2500
Ag1 0.0000 0.5000 0.0000
H1 0.0000 0.4650 0.2081
C1 0.0000 0.3493 0.5961
N1 0.0000 0.2645 0.6515
O1 0.0000 0.3730 0.2500


Crystalline Cu2Ag3 at its relaxed geometry. Source: the Open Quantum Materials Database, functional PBE-GGA.

E_form (eV per atom): 0.095

abc: 3.930 3.991 19.881
angles: 90.00 90.00 90.00
Space group Amm2 (No. 38)
Inequivalent atoms, fractional coordinates:
Cu1 0.000 0.000 0.000
Cu2 0.000 0.000 0.194
Cu3 0.000 0.000 0.597
Cu4 0.500 0.000 0.290
Ag1 0.000 0.000 0.395
Ag2 0.000 0.000 0.791
Ag3 0.500 0.000 0.096
Ag4 0.500 0.000 0.499
Ag5 0.500 0.000 0.693
Ag6 0.500 0.000 0.895


Which formula does entry 5 have?
ZnIn2Co